# 1
Material: LaAg2SnH
Method: DFT, GGA-PBE
State: optimized geometry

Lattice parameters (Å, degrees): 5.7260 5.7260 4.0986 90.00 90.00 90.00
Last column: nearest neighbours and their distance in Å.
Space group P4/mmm (No. 123)
Asymmetric unit:
La 0.0000 0.0000 0.0000  2 H 2.05
Ag 0.0000 0.5000 0.0000  2 La 2.86
Sn 0.5000 0.5000 0.5000  8 Ag 3.52
H 0.0000 0.0000 0.5000  2 La 2.05

Calculated values
The calculated total energy is -3.2044 eV/atom.

# 2
Material: SrCe2Pt9
Method: DFT, GGA-PBE
State: optimized geometry

Lattice parameters (Å, degrees): 5.4882 5.4882 26.7208 90.00 90.00 120.00
Last column: nearest neighbours and their distance in Å.
Space group R-3m (No. 166, hexagonal axes)
Asymmetric unit:
Sr 0.0000 0.0000 0.0000  6 Pt 3.17
Ce 0.0000 0.0000 0.1397  12 Pt 3.11-3.29
Pt 0.0000 0.0000 0.3324  6 Pt 2.74-2.81
Pt 0.0000 0.0000 0.5000  6 Pt 2.71
Pt 0.0044 0.5022 0.9148  7 Pt 2.71-2.81

Calculated values
For the formation energy, the calculation gives -0.84 eV/atom.

# 3
Material: CsAlGe
Method: DFT, GGA-PBE
State: optimized geometry

Lattice parameters (Å, degrees): 11.5713 4.2763 9.3373 90.00 90.00 90.00
Last column: nearest neighbours and their distance in Å.
Space group Pnma (No. 62)
Asymmetric unit:
Cs 0.1892 0.2500 0.0553  3 Ge 3.83-3.87, 4 Al 3.89-4.08, 2 Cs 4.28
Al 0.0304 0.2500 0.4227  3 Ge 2.51-2.67, 2 Al 2.67
Ge 0.0134 0.2500 0.7076  3 Al 2.51-2.67

Calculated values
For the formation energy, the calculation gives -0.03 eV/atom.

# 4
Material: HfAsS2Cl
Method: DFT, GGA-PBE
State: optimized geometry

Lattice parameters (Å, degrees): 4.8110 4.8110 4.6683 90.00 90.00 90.00
Last column: nearest neighbours and their distance in Å.
Space group P4/mmm (No. 123)
Asymmetric unit:
Hf 0.0000 0.0000 0.0000  8 S 3.35, 4 Cl 3.40
As 0.5000 0.5000 0.5000  2 Cl 2.33, 4 S 2.41
S 0.0000 0.5000 0.5000  2 As 2.41
Cl 0.5000 0.5000 0.0000  2 As 2.33

Calculated values
The raw formation energy is 0.376 eV per atom.

# 5
Material: Mg2RhSe
Method: DFT, GGA-PBE
State: optimized geometry

Lattice parameters (Å, degrees): 3.5110 3.5110 21.2963 90.00 90.00 120.00
Last column: nearest neighbours and their distance in Å.
Space group R-3m (No. 166, hexagonal axes)
Asymmetric unit:
Mg 0.0000 0.0000 0.2488  3 Se 2.68, 3 Rh 2.71
Rh 0.0000 0.0000 0.0000  6 Mg 2.71
Se 0.0000 0.0000 0.5000  6 Mg 2.68

Calculated values
The raw formation energy is -0.411 eV per atom.

# 6
Material: Sm6Ge2C
Method: DFT, GGA-PBE
State: optimized geometry

Lattice parameters (Å, degrees): 6.3575 7.9638 11.3144 90.00 122.36 90.00
Last column: nearest neighbours and their distance in Å.
Space group P2_1/c (No. 14)
Asymmetric unit:
Sm 0.1143 0.1604 0.4449  1 C 2.53
Sm 0.3075 0.7062 0.4467  1 C 2.56
Sm 0.3656 0.0343 0.2494  1 C 2.50
Ge 0.1889 0.1128 0.7574  8 Sm 2.99-3.33
C 0.5000 0.0000 0.5000  6 Sm 2.50-2.56

Calculated values
For the formation energy, the calculation gives -0.47 eV/atom.

# 7
Material: AlIn2Si
Method: DFT, GGA-PBE
State: optimized geometry

Lattice parameters (Å, degrees): 10.8729 3.1367 5.3604 90.00 108.06 90.00
Last column: nearest neighbours and their distance in Å.
Space group C2/m (No. 12)
Asymmetric unit:
Al 0.0000 0.0000 0.0000  4 Si 3.11, 2 Al 3.14, 6 In 3.14-3.31
In 0.2407 0.0000 0.7439  2 Si 2.98, 6 In 3.11-3.14, 3 Al 3.14-3.31
Si 0.0000 0.5000 0.5000  4 In 2.98, 4 Al 3.11, 2 Si 3.14

Calculated values
The raw formation energy is 0.331 eV per atom.

# 8
Material: ScInPd3
Method: DFT, GGA-PBE
State: optimized geometry

Lattice parameters (Å, degrees): 13.5033 7.7192 6.9284 90.00 90.24 90.00
Last column: nearest neighbours and their distance in Å.
Space group C2/c (No. 15)
Asymmetric unit:
Sc 0.2254 0.2185 0.2194  9 Pd 2.73-3.01
In 0.0000 0.0778 0.2500  8 Pd 2.73-2.81, 1 In 3.04
In 0.0000 0.4721 0.2500  6 Pd 2.80-2.86, 1 In 3.04
Pd 0.0758 0.2260 0.9199  4 Pd 2.72-3.04, 3 In 2.76-2.81, 2 Sc 2.89
Pd 0.1383 0.1078 0.5514  3 Sc 2.73-3.01, 2 In 2.73-2.81, 5 Pd 2.76-3.04
Pd 0.1649 0.4683 0.5112  3 Pd 2.72-2.82, 4 Sc 2.78-2.93, 2 In 2.82-2.86

Calculated values
For the formation energy, the calculation gives -0.62 eV/atom.

# 9
Material: Bi3Te
Method: DFT, GGA-PBE
State: optimized geometry

Lattice parameters (Å, degrees): 6.5433 4.6569 9.0973 90.00 90.11 90.00
Last column: nearest neighbours and their distance in Å.
Space group P2_1/m (No. 11)
Asymmetric unit:
Bi 0.2485 0.2500 0.3732  2 Te 3.25, 4 Bi 3.26-3.27
Bi 0.2497 0.2500 0.8714  2 Bi 3.24, 4 Te 3.27-3.28
Bi 0.2517 0.7500 0.6244  6 Bi 3.24-3.27
Te 0.2496 0.7500 0.1233  6 Bi 3.25-3.28

Calculated values
The raw formation energy is -0.016 eV per atom.

# 10
Material: CrCd
Method: DFT, GGA-PBE
State: optimized geometry

Lattice parameters (Å, degrees): 2.8988 2.8988 27.8717 90.00 90.00 120.00
Last column: nearest neighbours and their distance in Å.
Space group R-3m (No. 166, hexagonal axes)
Asymmetric unit:
Cr 0.0000 0.0000 0.1400  3 Cr 2.24
Cd 0.0000 0.0000 0.3848  6 Cd 2.90, 3 Cr 2.98

Calculated values
For the formation energy, the calculation gives 0.33 eV/atom.

# 11
Material: Ba3Sr12Tl
Method: DFT, GGA-PBE
State: optimized geometry

Lattice parameters (Å, degrees): 6.0363 6.0363 23.3490 90.00 90.00 90.00
Last column: nearest neighbours and their distance in Å.
Space group P4/mmm (No. 123)
Asymmetric unit:
Ba 0.0000 0.0000 0.0000  12 Sr 4.27-4.33
Ba 0.0000 0.0000 0.2646  12 Sr 4.27-4.37
Sr 0.0000 0.5000 0.1331  8 Sr 4.27-4.38, 4 Ba 4.31-4.33
Sr 0.0000 0.5000 0.4000  6 Sr 3.82-4.27, 2 Tl 3.82
Sr 0.5000 0.5000 0.0000  4 Ba 4.27, 8 Sr 4.33
Sr 0.5000 0.5000 0.2689  4 Ba 4.27, 8 Sr 4.30-4.38
Sr 0.5000 0.5000 0.5000  8 Sr 3.82, 4 Tl 4.27
Tl 0.0000 0.0000 0.5000  12 Sr 3.82-4.27

Calculated values
For the formation energy, the calculation gives -0.02 eV/atom.

# 12
Material: Ca4Pm3Se8
Method: DFT, GGA-PBE
State: optimized geometry

Lattice parameters (Å, degrees): 11.8156 11.8606 8.3874 90.00 134.71 90.00
Last column: nearest neighbours and their distance in Å.
Space group C2/m (No. 12)
Asymmetric unit:
Ca 0.0000 0.0000 0.0000  6 Se 2.96-2.98
Ca 0.0000 0.5000 0.5000  6 Se 2.94-2.96
Ca 0.2500 0.2500 0.0000  6 Se 2.95-2.98
Pm 0.0000 0.5000 0.0000  6 Se 2.93-2.98
Pm 0.2500 0.2500 0.5000  6 Se 2.95-2.98
Se 0.0000 0.2493 0.0000  3 Ca 2.95-2.96, 3 Pm 2.97-2.98
Se 0.0000 0.2510 0.5000  3 Ca 2.95-2.98, 2 Pm 2.95
Se 0.2449 0.5000 0.9936  1 Pm 2.93, 4 Ca 2.94-2.98
Se 0.2496 0.0000 0.5007  2 Ca 2.96-2.98, 3 Pm 2.97-2.98

Calculated values
The raw formation energy is -1.928 eV per atom.

Magnetic moment (μB per formula unit)
0.0; 1.3; 0.0; 1.3; 0.0; 0.0; 0.0; 0.0; 0.0; 0.0; 0.0; 0.0